*1*
The following is a PBE calculation of a relaxed PrZrW crystal, from OQMD.

Cell lengths 4.765, 4.765, 4.765 Å; angles 60.00, 60.00, 60.00 degrees
Each line ends with the local moment (μB).
Fractional coordinates of all 3 atoms:
Zr 0.750 0.750 0.750  -0.03
W 0.250 0.250 0.250  0.27
Pr 0.000 0.000 0.000  0.00

Space-group type: F-43m (216)
Total magnetization (μB per formula unit): 0.326
ρ (g/cm³): 9.03

***

*2*
The following is a PBE calculation of a relaxed PrZrW crystal, from OQMD.

Cell lengths 4.786, 4.786, 4.786 Å; angles 60.00, 60.00, 60.00 degrees
Fractional coordinates of all 3 atoms:
Pr 0.250 0.250 0.250
Zr 0.750 0.750 0.750
W 0.000 0.000 0.000

Space-group type: F-43m (216)
Total magnetization (μB per formula unit): 0.010
ρ (g/cm³): 8.91

***

Tell me which of them is the most stable. Sure, it is *2*.

***

*1*
The following is a PBE calculation of a relaxed PrY crystal, from OQMD.

Cell lengths 4.625, 4.625, 4.625 Å; angles 60.00, 60.00, 60.00 degrees
Each line ends with the local moment (μB).
Fractional coordinates of all 2 atoms:
Pr 0.000 0.000 0.000  0.11
Y 0.500 0.500 0.500  0.11

Space-group type: Fm-3m (225)
Total magnetization (μB per formula unit): 0.362
ρ (g/cm³): 5.45

***

*2*
The following is a PBE calculation of a relaxed PrY crystal, from OQMD.

Cell lengths 4.832, 4.832, 4.832 Å; angles 60.00, 60.00, 60.00 degrees
Fractional coordinates of all 2 atoms:
Y 0.250 0.250 0.250
Pr 0.000 0.000 0.000

Space-group type: F-43m (216)
Total magnetization (μB per formula unit): 0.066
ρ (g/cm³): 4.78

***

Tell me which of them is the most stable. Sure, it is *1*.

***

*1*
The following is a PBE calculation of a relaxed PrZrZn crystal, from OQMD.

Cell lengths 4.840, 4.840, 4.840 Å; angles 60.00, 60.00, 60.00 degrees
Each line ends with the local moment (μB).
Fractional coordinates of all 3 atoms:
Pr 0.500 0.500 0.500  0.08
Zr 0.000 0.000 0.000  0.23
Zn 0.250 0.250 0.250  0.00

Space-group type: F-43m (216)
Total magnetization (μB per formula unit): 0.562
ρ (g/cm³): 6.16

***

*2*
The following is a PBE calculation of a relaxed PrZrZn crystal, from OQMD.

Cell lengths 4.920, 4.920, 4.920 Å; angles 60.00, 60.00, 60.00 degrees
Fractional coordinates of all 3 atoms:
Zr 0.750 0.750 0.750
Zn 0.250 0.250 0.250
Pr 0.000 0.000 0.000

Space-group type: F-43m (216)
Total magnetization (μB per formula unit): 1.083
ρ (g/cm³): 5.87

***

Tell me which of them is the most stable. Sure, it is *1*.